1.
First-principles (PBE) data for a geometry-optimized CuSeBr2 structure, as listed in the Alexandria database.

Cell lengths 8.3556, 8.3556, 8.3556 Å; angles 26.25, 26.25, 26.25 degrees
Last column: nearest neighbours and their distance in Å.
Atoms (fractional coordinates):
Cu 0.5000 0.5000 0.5000  6 Br 2.62
Se 0.0000 0.0000 0.0000  2 Br 2.59
Br 0.8931 0.8931 0.8931  1 Se 2.59, 3 Cu 2.62
Br 0.1069 0.1069 0.1069  1 Se 2.59, 3 Cu 2.62

Values from the calculation:
N(E_F)	2.5	states/eV/f.u.
formation energy from raw total energies	0.059	eV per atom
calculated total energy	-2.672	eV/atom
ΔE to the lowest computed polymorph	21.8	kJ per mole of atoms

=====

2.
First-principles (PBE) data for a geometry-optimized KLiPb4 structure, as listed in the Alexandria database.

Cell lengths 6.5903, 6.5903, 6.5903 Å; angles 60.00, 60.00, 60.00 degrees
Last column: nearest neighbours and their distance in Å.
Atoms (fractional coordinates):
K 0.7500 0.7500 0.7500  12 Pb 3.87, 4 Li 4.04
Li 0.0000 0.0000 0.0000  12 Pb 3.86, 4 K 4.04
Pb 0.8764 0.3745 0.3745  6 Pb 3.28-3.31
Pb 0.3745 0.3745 0.8764  6 Pb 3.28-3.31
Pb 0.3745 0.8764 0.3745  6 Pb 3.28-3.31
Pb 0.3745 0.3745 0.3745  6 Pb 3.28-3.31

Values from the calculation:
ΔE_f	-0.6	eV/f.u.
N(E_F)	0.7	states/eV/f.u.
calculated total energy	-3.068	eV/atom
ΔE to the lowest computed polymorph	4.3	kJ per mole of atoms

=====

3.
First-principles (PBE) data for a geometry-optimized Al3PbBr12 structure, as listed in the Alexandria database.

Cell lengths 12.2173, 12.2173, 14.4471 Å; angles 64.99, 64.99, 60.00 degrees
Last column: nearest neighbours and their distance in Å.
Atoms (fractional coordinates):
Al 0.6901 0.3188 0.9899  4 Br 2.29-2.36
Al 0.1901 0.5012 0.4899  4 Br 2.29-2.36
Al 0.8188 0.1901 0.4899  4 Br 2.29-2.36
Al 0.3188 0.0012 0.9899  4 Br 2.29-2.36
Al 0.0012 0.6901 0.9899  4 Br 2.29-2.36
Al 0.5012 0.8188 0.4899  4 Br 2.29-2.36
Pb 0.0141 0.0141 0.9577  6 Br 3.08-3.10
Pb 0.5141 0.5141 0.4577  6 Br 3.08-3.10
Br 0.1002 0.0758 0.0954  1 Al 2.36
Br 0.1876 0.2945 0.5797  1 Al 2.31
Br 0.9218 0.9939 0.4483  1 Al 2.29
Br 0.8712 0.3008 0.8382  1 Al 2.36
Br 0.3712 0.4898 0.3382  1 Al 2.36
Br 0.4218 0.1359 0.9483  1 Al 2.29
Br 0.6876 0.4382 0.0797  1 Al 2.31
Br 0.9939 0.6359 0.4483  1 Al 2.29
Br 0.6002 0.2286 0.5954  1 Al 2.36
Br 0.9382 0.1876 0.5797  1 Al 2.31
Br 0.8008 0.3712 0.3382  1 Al 2.36
Br 0.2286 0.5758 0.5954  1 Al 2.36
Br 0.1359 0.4939 0.9483  1 Al 2.29
Br 0.7286 0.1002 0.0954  1 Al 2.36
Br 0.3008 0.9898 0.8382  1 Al 2.36
Br 0.4382 0.7945 0.0797  1 Al 2.31
Br 0.7945 0.6876 0.0797  1 Al 2.31
Br 0.4939 0.4218 0.9483  1 Al 2.29
Br 0.5758 0.6002 0.5954  1 Al 2.36
Br 0.9898 0.8712 0.8382  1 Al 2.36
Br 0.4898 0.8008 0.3382  1 Al 2.36
Br 0.0758 0.7286 0.0954  1 Al 2.36
Br 0.2945 0.9382 0.5797  1 Al 2.31
Br 0.6359 0.9218 0.4483  1 Al 2.29

Values from the calculation:
N(E_F)	18.5	states/eV/f.u.
formation energy from raw total energies	-0.969	eV per atom
calculated total energy	-3.158	eV/atom

=====

4.
First-principles (PBE) data for a geometry-optimized Rb2GaHg2Br4 structure, as listed in the Alexandria database.

Cell lengths 7.2744, 7.2744, 7.2744 Å; angles 109.15, 109.63, 109.63 degrees
Last column: nearest neighbours and their distance in Å.
Atoms (fractional coordinates):
Rb 0.5000 0.7500 0.2500  8 Br 3.64
Rb 0.5000 0.2500 0.7500  8 Br 3.64
Ga 0.0000 0.0000 0.0000  2 Hg 2.73, 4 Br 2.79
Hg 0.0000 0.6760 0.6760  1 Ga 2.73, 1 Hg 2.97
Hg 0.0000 0.3240 0.3240  1 Ga 2.73, 1 Hg 2.97
Br 0.0000 0.7648 0.2352  1 Ga 2.79
Br 0.5297 0.7648 0.7648  1 Ga 2.79
Br 0.0000 0.2352 0.7648  1 Ga 2.79
Br 0.4703 0.2352 0.2352  1 Ga 2.79

Values from the calculation:
N(E_F)	1.7	states/eV/f.u.
formation energy from raw total energies	-0.973	eV per atom
calculated total energy	-2.334	eV/atom

=====

5.
First-principles (PBE) data for a geometry-optimized NiPd structure, as listed in the Alexandria database.

Cell lengths 4.8835, 4.8835, 4.9776 Å; angles 90.00, 90.00, 90.00 degrees
Last column: nearest neighbours and their distance in Å.
Atoms (fractional coordinates):
Ni 0.8174 0.1826 0.0000  6 Pd 2.48-2.56, 1 Ni 2.52
Ni 0.3174 0.3174 0.5000  6 Pd 2.48-2.56, 1 Ni 2.52
Ni 0.6826 0.6826 0.5000  6 Pd 2.48-2.56, 1 Ni 2.52
Ni 0.1826 0.8174 0.0000  6 Pd 2.48-2.56, 1 Ni 2.52
Pd 0.6912 0.6912 0.0000  6 Ni 2.48-2.56, 1 Pd 2.64
Pd 0.1911 0.8088 0.5000  6 Ni 2.48-2.56, 1 Pd 2.64
Pd 0.8088 0.1911 0.5000  6 Ni 2.48-2.56, 1 Pd 2.64
Pd 0.3088 0.3088 0.0000  6 Ni 2.48-2.56, 1 Pd 2.64

Values from the calculation:
ΔE_f	0.9	eV/f.u.
N(E_F)	3.8	states/eV/f.u.
calculated total energy	-5.029	eV/atom

=====

6.
First-principles (PBE) data for a geometry-optimized LaPm3Dy2S6 structure, as listed in the Alexandria database.

Cell lengths 6.9561, 6.9561, 6.9464 Å; angles 99.62, 99.62, 120.14 degrees
Last column: nearest neighbours and their distance in Å.
Atoms (fractional coordinates):
La 0.0000 0.0000 0.0000  6 S 2.87-2.89
Pm 0.1624 0.8376 0.5000  6 S 2.83-2.89
Pm 0.8376 0.1624 0.5000  6 S 2.83-2.89
Pm 0.5000 0.5000 0.5000  6 S 2.81-2.89
Dy 0.3330 0.6670 0.0000  6 S 2.77-2.79
Dy 0.6670 0.3330 0.0000  6 S 2.77-2.79
S 0.9180 0.5734 0.7542  2 Dy 2.79, 3 Pm 2.83-2.89, 1 La 2.89
S 0.7355 0.7355 0.2411  2 Dy 2.77, 3 Pm 2.81-2.87, 1 La 2.87
S 0.0820 0.4266 0.2458  2 Dy 2.79, 3 Pm 2.83-2.89, 1 La 2.89
S 0.5734 0.9180 0.7542  2 Dy 2.79, 3 Pm 2.83-2.89, 1 La 2.89
S 0.2645 0.2645 0.7589  2 Dy 2.77, 3 Pm 2.81-2.87, 1 La 2.87
S 0.4266 0.0820 0.2458  2 Dy 2.79, 3 Pm 2.83-2.89, 1 La 2.89

Values from the calculation:
N(E_F)	5.2	states/eV/f.u.
formation energy from raw total energies	-2.042	eV per atom
calculated total energy	-6.471	eV/atom

=====

| no. | mass density (g cm⁻³) |
| --- | --- |
| 1 | 4.99 |
| 2 | 7.18 |
| 3 | 2.54 |
| 4 | 5.39 |
| 5 | 9.24 |
| 6 | 6.62 |